(1)
## HgPt2W (PBE)

Data for a relaxed structure of HgPt2W. Values from VASP.

Structure (Quantum ESPRESSO input):
```
&SYSTEM
  ibrav = 0, nat = 4, ntyp = 3
/
ATOMIC_SPECIES
Hg 200.59 Hg.upf
Pt 195.08 Pt.upf
W 183.84 W.upf
ATOMIC_POSITIONS crystal
Hg 0.000 0.000 0.000
Pt 0.250 0.250 0.250
Pt 0.500 0.500 0.500
W 0.750 0.750 0.750
CELL_PARAMETERS angstrom
0.000 3.227 3.227
3.227 0.000 3.227
3.227 3.227 0.000
```

Output
**Magnetic moment**: 0.00 μB per formula unit
**Calculated formation energy**: 335.8 meV/atom
**E_tot**: -6.00 eV per atom


(2)
## CeY5N6 (PBE)

Data for a relaxed structure of CeY5N6. Values from VASP.

Structure (Quantum ESPRESSO input):
```
&SYSTEM
  ibrav = 0, nat = 12, ntyp = 3
/
ATOMIC_SPECIES
Ce 140.12 Ce.upf
Y 88.91 Y.upf
N 14.01 N.upf
ATOMIC_POSITIONS crystal
Ce 0.000 0.000 0.000
Y 0.167 0.833 0.500
Y 0.334 0.666 0.000
Y 0.500 0.500 0.500
Y 0.666 0.334 0.000
Y 0.833 0.167 0.500
N 0.083 0.413 0.249
N 0.248 0.248 0.753
N 0.413 0.083 0.249
N 0.587 0.917 0.751
N 0.752 0.752 0.247
N 0.917 0.587 0.751
CELL_PARAMETERS angstrom
3.023 -5.235 0.000
3.023 5.235 0.000
-2.013 0.000 5.701
```

Output
**Magnetic moment**: 0.00 μB per formula unit
**E_tot**: -9.02 eV per atom
**Formation energy without anion corrections**: -1.669 eV/atom


(3)
## Zr3InW (PBE)

Data for a relaxed structure of Zr3InW. Values from VASP.

Structure (Quantum ESPRESSO input):
```
&SYSTEM
  ibrav = 0, nat = 5, ntyp = 3
/
ATOMIC_SPECIES
Zr 91.22 Zr.upf
In 114.82 In.upf
W 183.84 W.upf
ATOMIC_POSITIONS crystal
Zr 0.000 0.000 0.500
Zr 0.000 0.500 0.000
Zr 0.500 0.000 0.000
In 0.500 0.500 0.500
W 0.000 0.000 0.000
CELL_PARAMETERS angstrom
5.098 0.000 0.000
0.000 5.098 0.000
0.000 0.000 5.098
```

Output
**Magnetic moment**: 0.00 μB per formula unit
**Calculated formation energy**: 691.3 meV/atom
**Energy above the lowest structure with this stoichiometry**: 0.0000 eV per atom
**E_tot**: -7.58 eV per atom


(4)
## AsPb2Au2 (PBE)

Data for a relaxed structure of AsPb2Au2. Values from VASP.

Structure (Quantum ESPRESSO input):
```
&SYSTEM
  ibrav = 0, nat = 5, ntyp = 3
/
ATOMIC_SPECIES
As 74.92 As.upf
Pb 207.20 Pb.upf
Au 196.97 Au.upf
ATOMIC_POSITIONS crystal
As 0.000 0.000 0.000
Pb 0.401 0.401 0.000
Pb 0.599 0.599 0.000
Au 0.250 0.750 0.500
Au 0.750 0.250 0.500
CELL_PARAMETERS angstrom
-1.930 1.930 8.507
1.930 -1.930 8.507
1.930 1.930 -8.507
```

Output
**Magnetic moment**: 0.00 μB per formula unit
**Calculated formation energy**: 48.3 meV/atom
**Energy above the lowest structure with this stoichiometry**: 0.0668 eV per atom
**E_tot**: -3.68 eV per atom


(5)
## Cs3RbAu (PBE)

Data for a relaxed structure of Cs3RbAu. Values from VASP.

Structure (Quantum ESPRESSO input):
```
&SYSTEM
  ibrav = 0, nat = 10, ntyp = 3
/
ATOMIC_SPECIES
Cs 132.91 Cs.upf
Rb 85.47 Rb.upf
Au 196.97 Au.upf
ATOMIC_POSITIONS crystal
Cs 0.000 0.166 0.000
Cs 0.249 0.342 0.515
Cs 0.251 0.658 0.015
Cs 0.500 0.834 0.500
Cs 0.749 0.658 0.015
Cs 0.751 0.342 0.515
Rb 0.000 0.818 0.523
Rb 0.500 0.182 0.023
Au 0.000 0.501 0.766
Au 0.500 0.499 0.266
CELL_PARAMETERS angstrom
10.360 0.000 0.000
0.000 8.975 0.000
0.000 0.000 8.578
```

Output
**Magnetic moment**: 0.10 μB per formula unit
**Calculated formation energy**: -135.6 meV/atom
**Energy above the lowest structure with this stoichiometry**: 0.0114 eV per atom
**E_tot**: -1.50 eV per atom


(6)
## SrY2As (PBE)

Data for a relaxed structure of SrY2As. Values from VASP.

Structure (Quantum ESPRESSO input):
```
&SYSTEM
  ibrav = 0, nat = 4, ntyp = 3
/
ATOMIC_SPECIES
Sr 87.62 Sr.upf
Y 88.91 Y.upf
As 74.92 As.upf
ATOMIC_POSITIONS crystal
Sr 0.000 0.000 0.000
Y 0.000 0.705 0.705
Y 0.500 0.328 0.328
As 0.500 0.548 0.548
CELL_PARAMETERS angstrom
4.037 0.000 0.000
0.000 2.514 6.538
0.000 -2.514 6.538
```

Output
**Magnetic moment**: 0.89 μB per formula unit
**Calculated formation energy**: -484.9 meV/atom
**E_tot**: -5.30 eV per atom


Q: Which of these has the highest E_tot?
A: Cs3RbAu


Q: Number 3 is which compound?
A: Zr3InW